1.
Here is a relaxed structure of Si2Hg2Sb from the Alexandria database. Energies are from GGA-PBE.

The structure in CIF format:
```
data_Si2Hg2Sb
_chemical_formula_sum 'Si4 Hg4 Sb2'
_symmetry_space_group_name_H-M 'I 4/m m m'
_symmetry_Int_Tables_number 139
_symmetry_space_group_name_Hall '-I 4 2'
_cell_length_a 4.4945
_cell_length_b 4.4945
_cell_length_c 11.3920
_cell_angle_alpha 90.00
_cell_angle_beta 90.00
_cell_angle_gamma 90.00
loop_
_atom_site_label
_atom_site_type_symbol
_atom_site_fract_x
_atom_site_fract_y
_atom_site_fract_z
Si1 Si 0.0000 0.0000 0.1021
Hg1 Hg 0.0000 0.5000 0.2500
Sb1 Sb 0.0000 0.0000 0.5000
```

Results
Electronic total energy   -2.60 eV per atom
Total moment   0.00 μB/f.u.
Formation energy from raw total energies   515 meV per atom
Energy relative to the lowest polymorph listed for this composition   163 meV/atom


2.
Here is a relaxed structure of LaAs2Os from the Alexandria database. Energies are from GGA-PBE.

The structure in CIF format:
```
data_LaAs2Os
_chemical_formula_sum 'La3 As6 Os3'
_symmetry_space_group_name_H-M 'R -3 m'
_symmetry_Int_Tables_number 166
_symmetry_space_group_name_Hall '-R 3 2"'
_cell_length_a 4.2401
_cell_length_b 4.2401
_cell_length_c 15.7378
_cell_angle_alpha 90.00
_cell_angle_beta 90.00
_cell_angle_gamma 120.00
loop_
_atom_site_label
_atom_site_type_symbol
_atom_site_fract_x
_atom_site_fract_y
_atom_site_fract_z
La1 La 0.0000 0.0000 0.0000
As1 As 0.0000 0.0000 0.2196
Os1 Os 0.0000 0.0000 0.5000
```

Results
Electronic total energy   -7.03 eV per atom
Total moment   0.00 μB/f.u.
Energy relative to the lowest polymorph listed for this composition   0 meV/atom
Formation energy from the elements   -0.66 eV/atom


3.
Here is a relaxed structure of CaDyPd4 from the Alexandria database. Energies are from GGA-PBE.

The structure in CIF format:
```
data_CaDyPd4
_chemical_formula_sum 'Ca1 Dy1 Pd4'
_symmetry_space_group_name_H-M 'P 4/m m m'
_symmetry_Int_Tables_number 123
_symmetry_space_group_name_Hall '-P 4 2'
_cell_length_a 3.8881
_cell_length_b 3.8881
_cell_length_c 8.7967
_cell_angle_alpha 90.00
_cell_angle_beta 90.00
_cell_angle_gamma 90.00
loop_
_atom_site_label
_atom_site_type_symbol
_atom_site_fract_x
_atom_site_fract_y
_atom_site_fract_z
Ca1 Ca 0.0000 0.0000 0.0000
Dy1 Dy 0.5000 0.5000 0.5000
Pd1 Pd 0.0000 0.5000 0.2613
```

Results
Electronic total energy   -5.08 eV per atom
Total moment   0.00 μB/f.u.
Energy relative to the lowest polymorph listed for this composition   227 meV/atom
Formation energy from the elements   -0.51 eV/atom


4.
Here is a relaxed structure of LiTlPbS2 from the Alexandria database. Energies are from GGA-PBE.

The structure in CIF format:
```
data_LiTlPbS2
_chemical_formula_sum 'Li4 Tl4 Pb4 S8'
_symmetry_space_group_name_H-M 'C 1 2/m 1'
_symmetry_Int_Tables_number 12
_cell_length_a 14.0467
_cell_length_b 4.3429
_cell_length_c 9.1421
_cell_angle_alpha 90.00
_cell_angle_beta 95.20
_cell_angle_gamma 90.00
loop_
_symmetry_equiv_pos_as_xyz
'x,y,z'
'-x,-y,-z'
'-x,y,-z'
'x,-y,z'
'x+1/2,y+1/2,z'
'-x+1/2,-y+1/2,-z'
'-x+1/2,y+1/2,-z'
'x+1/2,-y+1/2,z'
loop_
_atom_site_label
_atom_site_type_symbol
_atom_site_fract_x
_atom_site_fract_y
_atom_site_fract_z
Li1 Li 0.1957 0.0000 0.0645
Tl1 Tl 0.1793 0.0000 0.6672
Pb1 Pb 0.0464 0.5000 0.2266
S1 S 0.1330 0.5000 0.9797
S2 S 0.1679 0.0000 0.3303
```

Results
Electronic total energy   -3.91 eV per atom
Total moment   0.00 μB/f.u.
Formation energy from raw total energies   -659 meV per atom


5.
Here is a relaxed structure of MgGaSi from the Alexandria database. Energies are from GGA-PBE.

The structure in CIF format:
```
data_MgGaSi
_chemical_formula_sum 'Mg4 Ga4 Si4'
_symmetry_space_group_name_H-M 'F -4 3 m'
_symmetry_Int_Tables_number 216
_symmetry_space_group_name_Hall 'F -4 2 3'
_cell_length_a 6.2646
_cell_length_b 6.2646
_cell_length_c 6.2646
_cell_angle_alpha 90.00
_cell_angle_beta 90.00
_cell_angle_gamma 90.00
loop_
_atom_site_label
_atom_site_type_symbol
_atom_site_fract_x
_atom_site_fract_y
_atom_site_fract_z
Mg1 Mg 0.0000 0.0000 0.0000
Ga1 Ga 0.0000 0.0000 0.5000
Si1 Si 0.2500 0.2500 0.7500
```

Results
Electronic total energy   -3.27 eV per atom
Total moment   0.00 μB/f.u.
Formation energy from raw total energies   75 meV per atom


6.
Here is a relaxed structure of HgGe2Au from the Alexandria database. Energies are from GGA-PBE.

The structure in CIF format:
```
data_HgGe2Au
_chemical_formula_sum 'Hg3 Ge6 Au3'
_symmetry_space_group_name_H-M 'R -3 m'
_symmetry_Int_Tables_number 166
_symmetry_space_group_name_Hall '-R 3 2"'
_cell_length_a 4.2043
_cell_length_b 4.2043
_cell_length_c 21.8704
_cell_angle_alpha 90.00
_cell_angle_beta 90.00
_cell_angle_gamma 120.00
loop_
_atom_site_label
_atom_site_type_symbol
_atom_site_fract_x
_atom_site_fract_y
_atom_site_fract_z
Hg1 Hg 0.0000 0.0000 0.0000
Ge1 Ge 0.0000 0.0000 0.1226
Au1 Au 0.0000 0.0000 0.5000
```

Results
Electronic total energy   -3.09 eV per atom
Total moment   0.00 μB/f.u.
Formation energy from the elements   0.11 eV/atom


7.
Here is a relaxed structure of ZrSc2Mo from the Alexandria database. Energies are from GGA-PBE.

The structure in CIF format:
```
data_ZrSc2Mo
_chemical_formula_sum 'Zr1 Sc2 Mo1'
_symmetry_space_group_name_H-M 'P 1 m 1'
_symmetry_Int_Tables_number 6
_cell_length_a 3.0695
_cell_length_b 4.6603
_cell_length_c 5.9946
_cell_angle_alpha 90.00
_cell_angle_beta 102.66
_cell_angle_gamma 90.00
loop_
_symmetry_equiv_pos_as_xyz
'x,y,z'
'x,-y,z'
loop_
_atom_site_label
_atom_site_type_symbol
_atom_site_fract_x
_atom_site_fract_y
_atom_site_fract_z
Zr1 Zr 0.0000 0.0000 0.0000
Sc1 Sc 0.3935 0.5000 0.7448
Sc2 Sc 0.7822 0.0000 0.4586
Mo1 Mo 0.2762 0.5000 0.2352
```

Results
Electronic total energy   -7.91 eV per atom
Total moment   0.00 μB/f.u.
Energy relative to the lowest polymorph listed for this composition   42 meV/atom
Formation energy from the elements   0.10 eV/atom